No. 1
This record from Alexandria via LeMat-Bulk describes a relaxed MnSi2Au crystal. The functional is PBE.

a b c (Å): 4.3287 4.3287 4.3287
angles (deg): 60.00 60.00 60.00
Each line ends with the local moment (μB).
Atoms (fractional coordinates):
Si  0.2500  0.2500  0.2500  -0.03
Si  0.7500  0.7500  0.7500  -0.03
Mn  0.0000  0.0000  0.0000  2.02
Au  0.5000  0.5000  0.5000  0.04



No. 2
This record from Alexandria via LeMat-Bulk describes a relaxed Ac2MgSi3Pt4 crystal. The functional is PBE.

a b c (Å): 4.4014 4.4014 10.2676
angles (deg): 90.00 90.00 90.00
Atoms (fractional coordinates):
Ac  0.5000  0.0000  0.2481
Ac  0.0000  0.5000  0.7519
Mg  0.5000  0.5000  0.5000
Si  0.0000  0.0000  0.5000
Si  0.5000  0.0000  0.8787
Si  0.0000  0.5000  0.1213
Pt  0.5000  0.5000  0.0000
Pt  0.0000  0.0000  0.0000
Pt  0.5000  0.0000  0.6379
Pt  0.0000  0.5000  0.3621



In order of appearance, DFT total energy = -5.53 -6.05 eV per atom.
In order of appearance, theoretical density = 8.92 11.21 Mg/m³.
In order of appearance, size of the total moment = 0.510 0.000 μB/atom.